MgIr2Br | PBE | optimized geometry

Structure (extended XYZ):
```
4
Lattice="-0.8467 2.9587 -1.8041 -1.8367 -1.6325 -1.8152 -6.0335 0.4525 3.5737" Properties=species:S:1:pos:R:3 pbc="T T T"
Br -6.5721 0.3077 0.0622
Ir -1.8342 -1.2279 -1.1529
Ir -2.1524 1.2392 -0.4844
Mg -3.9299 -0.7628 0.5934
```

The space-group type is Pm, No. 6. The value obtained for the density of states at the Fermi level is 0.78 states/eV/atom. The calculation puts the excess energy over the best structure of this formula in the dataset at 0.15 kcal/mol of atoms. The formation energy from raw total energies comes out at 0.11 eV/atom. The value obtained for the total magnetic moment is 0.000 Bohr magnetons per cell. The value obtained for the calculated volume is 18.8 Å³/atom.

***

Rb2CuSiSe4 | PBE | optimized geometry

Structure (extended XYZ):
```
16
Lattice="-1.9751 1.9983 -5.4364 -7.5084 1.9842 0.0130 1.8774 11.8216 0.2189" Properties=species:S:1:pos:R:3 pbc="T T T"
Rb 0.8485 7.9350 -0.8359
Rb -0.9462 5.8848 -4.3817
Rb -3.2680 12.2881 -2.9066
Rb -5.3257 4.5150 -5.0162
Cu -4.2969 8.4016 -3.9614
Cu 0.0000 0.0000 0.0000
Si -3.3093 7.4024 -1.2432
Si -0.9876 0.9991 -2.7182
Se -6.5137 3.4823 -1.6574
Se -0.1837 11.4023 -1.0460
Se -6.1506 13.9357 -4.5606
Se -2.3643 2.7876 -3.1453
Se -5.2916 6.9035 -2.2911
Se -2.2357 8.8208 -2.6966
Se -5.7525 10.2698 -4.6055
Se -1.9325 5.6139 -0.8161
```

The space-group type is Fddd, No. 70. The value obtained for the density of states at the Fermi level is 0.66 states/eV/atom. The formation energy from raw total energies comes out at -0.73 eV/atom. The value obtained for the total magnetic moment is 0.000 Bohr magnetons per cell. The value obtained for the calculated volume is 31.6 Å³/atom.

***

Lu12Mn3H5 | PBE | optimized geometry

Structure (extended XYZ):
```
80
Lattice="12.6420 0.0000 0.0000 -4.2140 11.9190 0.0000 -4.2140 -5.9595 10.3222" Properties=species:S:1:pos:R:3 pbc="T T T"
H -1.0535 2.9797 2.5805
H -2.1070 5.9595 0.0000
H 0.0000 0.0000 0.0000
H 3.1605 2.2348 1.2903
H 4.2140 -2.9797 5.1611
H 4.2140 5.9595 0.0000
H -3.1605 6.7044 3.8708
H 5.2675 -3.7247 9.0319
H 5.2675 5.2146 3.8708
H 1.0535 -2.9797 7.7416
H 3.1605 8.9392 2.5805
H 2.1070 2.9797 5.1611
H 6.3210 0.0000 0.0000
H -2.1070 -2.9797 5.1611
H -1.0535 0.7449 6.4513
H -1.0535 9.6842 1.2903
H -4.2140 2.9797 5.1611
H 7.3745 -0.7449 6.4513
H 1.0535 3.7247 9.0319
H 5.2675 2.9797 7.7416
Lu 8.4173 1.3018 0.2972
Lu 0.0107 3.8880 4.1823
Lu 9.4978 2.7973 2.9251
Lu 5.2512 1.8452 1.2760
Lu 1.5784 4.4423 7.0999
Lu 8.9799 5.9704 1.9388
Lu -1.0698 6.9116 4.2011
Lu -3.1442 10.0738 1.2760
Lu 0.5286 7.4767 7.0999
Lu 5.7691 5.9486 1.9388
Lu 6.3317 3.3733 3.8851
Lu 6.3317 10.6172 0.2972
Lu -3.6854 5.3901 5.4583
Lu 2.6589 4.2750 0.9600
Lu -4.2247 8.5457 3.8851
Lu 2.1177 -2.0715 6.1399
Lu -0.5286 0.9478 2.2360
Lu 2.6589 7.6331 0.9788
Lu 5.2512 9.1217 2.9251
Lu -0.5519 4.2859 0.9788
Lu -2.6356 6.9073 8.0862
Lu 3.1768 5.0074 4.2011
Lu 5.7924 6.5289 5.4583
Lu 4.7659 -1.6845 9.3622
Lu 1.0372 0.9521 6.1211
Lu -1.5784 -0.5694 4.8639
Lu -0.5519 7.6440 0.9600
Lu -1.0372 -3.1622 7.3971
Lu 6.8496 -0.9478 2.2360
Lu 4.7659 1.6736 9.3433
Lu 1.5551 -1.6736 9.3433
Lu 2.0963 8.0310 4.1823
Lu 4.7426 5.0117 8.0862
Lu 8.4387 -2.5862 6.4371
Lu 7.8994 0.5694 4.8639
Lu -2.1177 -4.6577 10.0250
Lu 1.5551 1.6845 9.3622
Lu 3.6854 -1.5172 3.2223
Lu -1.5551 0.0109 8.3834
Lu -2.1177 2.5862 6.4371
Lu 7.3582 -4.1143 9.0462
Lu 5.2838 -0.9521 6.1211
Lu -1.0372 4.1143 9.0462
Lu -4.7659 -0.0109 8.3834
Lu 2.6356 1.5172 3.2223
Lu -5.2838 3.1622 7.3971
Lu 4.2033 2.0715 6.1399
Lu -4.2033 4.6577 10.0250
Mn 7.3745 3.7247 1.2903
Mn 7.3745 8.1943 1.2903
Mn -1.0535 5.2146 6.4513
Mn 1.0535 -0.7449 3.8708
Mn 9.4815 0.0000 2.5805
Mn 1.0535 5.9595 2.5805
Mn 3.1605 0.0000 7.7416
Mn -5.2675 5.9595 7.7416
Mn 3.1605 6.7044 6.4513
Mn 5.2675 0.7449 3.8708
Mn -3.1605 -2.2348 9.0319
Mn -3.1605 2.2348 9.0319
```

The space-group type is Ia-3d, No. 230. The value obtained for the density of states at the Fermi level is 0.67 states/eV/atom. The value obtained for the total magnetic moment is 0.002 Bohr magnetons per cell. The value obtained for the calculated volume is 19.4 Å³/atom. The uncorrected energy comes out at -400.24 eV for the cell shown.

***

NdTlZn2 | PBE | optimized geometry

Structure (extended XYZ):
```
4
Lattice="4.2449 0.0000 0.0000 0.0000 4.6746 0.0000 0.0000 0.0000 4.6746" Properties=species:S:1:pos:R:3 pbc="T T T"
Tl 2.1224 0.0000 0.0000
Nd 2.1224 2.3373 2.3373
Zn 0.0000 0.0000 2.3373
Zn 0.0000 2.3373 0.0000
```

The space-group type is P4/mmm, No. 123. The value obtained for the density of states at the Fermi level is 0.65 states/eV/atom. The calculation puts the excess energy over the best structure of this formula in the dataset at 0.00 kcal/mol of atoms. The value obtained for the total magnetic moment is 0.000 Bohr magnetons per cell. The value obtained for the calculated volume is 23.2 Å³/atom. The calculation puts the energy relative to the elements at -80 kJ/mol of formula units.

***

total magnetic moment of number 2 (Rb2CuSiSe4)? 0.000 Bohr magnetons per cell

***

Among the records above, which one has the highest calculated volume? Rb2CuSiSe4